Dy4HgSbTe2: relaxed, PBE.

The crystal system is monoclinic. The calculation puts the uncorrected formation energy at -8.33 eV/f.u. The calculation puts the total energy at -4.680 eV per atom.

The space group is P2/m (No. 10) and the conventional cell measures 7.554, 4.254 and 7.679 Å, with angles of 90.00, 108.31 and 90.00 degrees. The asymmetric unit holds Dy at (0.244, 0.000, 0.240), Dy at (0.251, 0.500, 0.760), Hg at (0.000, 0.500, 0.000), Sb at (0.500, 0.000, 0.000), Te at (0.000, 0.000, 0.500) and Te at (0.500, 0.500, 0.500).

---

K2SrSO4: relaxed, PBE.

The crystal system is tetragonal. The calculation puts the uncorrected formation energy at -11.13 eV/f.u. The calculation puts the total energy at -4.871 eV per atom.

The space group is I-4 (No. 82) and the conventional cell measures 6.112, 6.112 and 6.937 Å, with angles of 90.00, 90.00 and 90.00 degrees. The asymmetric unit holds K at (0.000, 0.000, 0.000), K at (0.000, 0.500, 0.250), Sr at (0.000, 0.500, 0.750), S at (0.000, 0.000, 0.500) and O at (0.187, 0.780, 0.526).

---

BaInSb2: relaxed, PBE.

The crystal system is cubic. The calculation puts the uncorrected formation energy at -1.02 eV/f.u. The calculation puts the total energy at -3.482 eV per atom.

The space group is F-43m (No. 216) and the conventional cell measures 8.061, 8.061 and 8.061 Å, with angles of 90.00, 90.00 and 90.00 degrees. The asymmetric unit holds Ba at (0.000, 0.000, 0.000), In at (0.250, 0.250, 0.250), Sb at (0.000, 0.000, 0.500) and Sb at (0.250, 0.250, 0.750).

---

BaGd2Pt: relaxed, PBE.

The crystal system is tetragonal. The formation energy comes out at -48 kJ per mole of atoms. The energy above the most stable polymorph in this dataset comes out at 0.16 eV/f.u. The calculation puts the total energy at -9.529 eV per atom.

The space group is P4/mmm (No. 123) and the conventional cell measures 3.653, 3.653 and 9.772 Å, with angles of 90.00, 90.00 and 90.00 degrees. The asymmetric unit holds Ba at (0.000, 0.000, 0.000), Gd at (0.500, 0.500, 0.337) and Pt at (0.000, 0.000, 0.500).

---

SrGdMg4: relaxed, PBE.

The crystal system is cubic. The formation energy comes out at -6 kJ per mole of atoms. The calculation puts the total energy at -3.756 eV per atom.

The space group is F-43m (No. 216) and the conventional cell measures 8.825, 8.825 and 8.825 Å, with angles of 90.00, 90.00 and 90.00 degrees. The asymmetric unit holds Sr at (0.000, 0.000, 0.000), Gd at (0.250, 0.250, 0.750) and Mg at (0.124, 0.124, 0.376).